Material: KMnAg2Se4
Method: DFT, PBE-GGA
State: relaxed

DFT total energy in eV/atom: -4.0983
Magnetization in μB/f.u.: 2.00

a = 6.9281 Å, b = 6.9281 Å, c = 8.9643 Å
α = 90.00°, β = 90.00°, γ = 90.00°
Last column: nearest neighbours and their distance in Å.
Positions (direct):
K: 0.0000 0.0000 0.0000  8 Se 3.33-3.65
K: 0.5000 0.5000 0.5000  8 Se 3.33-3.65
Mn: 0.0000 0.0000 0.5000  4 Se 2.28
Mn: 0.5000 0.5000 0.0000  4 Se 2.28
Ag: 0.0000 0.5000 0.2500  4 Se 2.68
Ag: 0.0000 0.5000 0.7500  4 Se 2.68
Ag: 0.5000 0.0000 0.2500  4 Se 2.68
Ag: 0.5000 0.0000 0.7500  4 Se 2.68
Se: 0.1890 0.1890 0.3510  1 Mn 2.28
Se: 0.1890 0.8110 0.6490  1 Mn 2.28
Se: 0.3110 0.3110 0.8510  1 Mn 2.28
Se: 0.3110 0.6890 0.1490  1 Mn 2.28
Se: 0.6890 0.3110 0.1490  1 Mn 2.28
Se: 0.6890 0.6890 0.8510  1 Mn 2.28
Se: 0.8110 0.1890 0.6490  1 Mn 2.28
Se: 0.8110 0.8110 0.3510  1 Mn 2.28